Entry 1:
VASP calculation (PBE) on crystalline InCuNi3 at its relaxed geometry.

a b c (Å): 4.666 5.921 5.921
angles (deg): 120.00 90.00 90.00
Fractional positions:
In  0.250  0.334  0.666
In  0.750  0.666  0.334
Cu  0.000  0.000  0.000
Cu  0.500  0.000  0.000
Ni  0.250  0.800  0.200
Ni  0.750  0.200  0.800
Ni  0.250  0.800  0.601
Ni  0.750  0.200  0.399
Ni  0.250  0.399  0.200
Ni  0.750  0.601  0.800

Summary:
* DFT formation energy: 23 kJ per mole of atoms
* space-group type: P6_3/mmc
* ΔE to the lowest computed polymorph: 0 meV/atom

=====

Entry 2:
VASP calculation (PBE) on crystalline InCu2Ni at its relaxed geometry.

a b c (Å): 5.205 5.205 2.773
angles (deg): 76.11 76.11 120.07
Fractional positions:
Cu  0.000  0.000  0.000
Cu  0.500  0.500  0.000
In  0.500  0.000  0.500
Ni  0.000  0.500  0.500

Summary:
* DFT formation energy: 10 kJ per mole of atoms
* space-group type: C2/m

=====

Entry 3:
VASP calculation (PBE) on crystalline InCu5Ni4 at its relaxed geometry.

a b c (Å): 3.983 5.777 6.356
angles (deg): 92.16 108.26 90.00
Fractional positions:
In  0.500  0.000  0.000
Cu  0.177  0.006  0.354
Cu  0.173  0.476  0.346
Cu  0.827  0.524  0.654
Cu  0.500  0.500  0.000
Cu  0.823  0.994  0.646
Ni  0.664  0.738  0.327
Ni  0.983  0.272  0.966
Ni  0.336  0.262  0.673
Ni  0.017  0.728  0.034

Summary:
* DFT formation energy: 20 kJ per mole of atoms
* space-group type: C2/m

=====

Entry 4:
VASP calculation (PBE) on crystalline InCu2Ni at its relaxed geometry.

a b c (Å): 4.570 4.571 4.576
angles (deg): 129.60 129.56 73.90
Fractional positions:
Ni  0.250  0.750  0.500
Cu  0.000  0.000  0.000
Cu  0.750  0.250  0.500
In  0.500  0.500  0.000

Summary:
* DFT formation energy: -1 kJ per mole of atoms
* space-group type: F222

=====

Entry 5:
VASP calculation (PBE) on crystalline InCuNi2 at its relaxed geometry.

a b c (Å): 3.287 2.946 6.299
angles (deg): 61.90 90.00 90.00
Fractional positions:
Ni  0.000  0.976  0.024
Ni  0.000  0.524  0.476
Cu  0.500  0.250  0.250
In  0.500  0.750  0.750

Summary:
* DFT formation energy: -2 kJ per mole of atoms
* space-group type: P2/m

=====

Entry 6:
VASP calculation (PBE) on crystalline InCuNi2 at its relaxed geometry.

a b c (Å): 5.643 5.643 5.643
angles (deg): 54.45 152.27 134.13
Site moments in Bohr magnetons follow the coordinates.
Fractional positions:
In  0.000  0.500  0.500  0.00
Cu  0.000  0.000  0.000  0.00
Ni  0.000  0.238  0.238  0.41
Ni  0.000  0.762  0.762  0.41

Summary:
* DFT formation energy: 40 kJ per mole of atoms
* space-group type: Immm

=====

Entry 7:
VASP calculation (PBE) on crystalline NpInCuNi at its relaxed geometry.

a b c (Å): 4.669 4.669 4.669
angles (deg): 60.00 60.00 60.00
Site moments in Bohr magnetons follow the coordinates.
Fractional positions:
Np  0.500  0.500  0.500  3.54
Ni  0.250  0.250  0.250  -0.28
Cu  0.750  0.750  0.750  0.01
In  0.000  0.000  0.000  -0.01

Summary:
* DFT formation energy: 9 kJ per mole of atoms
* space-group type: F-43m

=====

Entry 8:
VASP calculation (PBE) on crystalline PaInCuNi at its relaxed geometry.

a b c (Å): 4.680 4.680 4.680
angles (deg): 60.00 60.00 60.00
Fractional positions:
Ni  0.750  0.750  0.750
Pa  0.000  0.000  0.000
Cu  0.250  0.250  0.250
In  0.500  0.500  0.500

Summary:
* DFT formation energy: -19 kJ per mole of atoms
* space-group type: F-43m

=====

no.,DOS(E_F) (states/eV per cell),V (Å³/atom)
1,12.7,14.167
2,1.2,14.247
3,5.1,13.876
4,2.1,13.861
5,1.3,13.455
6,3.7,14.924
7,11.4,17.991
8,2.9,18.125